(1)
PmEuNi PBE relaxed; SG = P3m1 (156); energy above the most stable polymorph in this dataset = 10 kJ/mol of formula units
1.0
4.0310 0.0000 0.0000
-2.0155 3.4909 0.0000
0.0000 0.0000 6.5433
Pm Eu Ni
1 1 1
Cartesian
0.0000 0.0000 0.0000 Pm
2.0155 1.1636 3.4128 Eu
0.0000 2.3273 5.1139 Ni


(2)
ErPaH PBE relaxed; SG = P3m1 (156); energy above the most stable polymorph in this dataset = 0 kJ/mol of formula units
1.0
3.3351 0.0000 0.0000
-1.6675 2.8882 0.0000
0.0000 0.0000 5.8576
Er Pa H
1 1 1
Cartesian
0.0000 0.0000 0.0000 Er
0.0000 1.9255 2.9662 Pa
1.6675 0.9627 1.4385 H


(3)
Na3ZnHg8 PBE relaxed; SG = Cm (8)
1.0
5.6519 -5.5134 0.0000
5.6519 5.5134 0.0000
-2.6863 0.0000 4.8314
Na Zn Hg
3 1 8
Cartesian
0.0000 0.0000 0.0000 Na
4.2118 2.7511 2.5873 Na
4.2118 -2.7511 2.5873 Na
5.6310 0.0000 0.0453 Zn
1.4633 2.6649 4.2131 Hg
0.1470 0.0000 3.2015 Hg
2.9144 0.0000 1.6146 Hg
6.9624 2.6649 0.9580 Hg
1.4633 -2.6649 4.2131 Hg
5.7062 0.0000 3.2137 Hg
8.5019 0.0000 1.5784 Hg
6.9624 -2.6649 0.9580 Hg


(4)
La2MgPa PBE relaxed; SG = Fm-3m (225); energy above the most stable polymorph in this dataset = 103 kJ/mol of formula units
1.0
0.0000 3.9313 3.9313
3.9313 0.0000 3.9313
3.9313 3.9313 0.0000
La Mg Pa
2 1 1
Cartesian
1.9657 1.9657 1.9657 La
5.8970 5.8970 5.8970 La
0.0000 0.0000 0.0000 Mg
3.9313 3.9313 3.9313 Pa


| no. | calculated total energy (eV for the cell shown) | M_tot (μB per formula unit) | DOS at the Fermi energy (states/eV/atom) |
| --- | --- | --- | --- |
| 1 | -21.1 | 7.35 | 2.67 |
| 2 | -17.7 | 0.00 | 1.67 |
| 3 | -9.4 | 0.00 | 0.23 |
| 4 | -19.6 | 0.74 | 2.20 |